(1)
Below is a geometry-optimized TbNd2Dy6Er structure, with properties calculated at the PBE level.

```
TbNd2Dy6Er
1.0
4.5119 -7.5244 0.0000
4.5119 7.5244 0.0000
-1.5050 0.0000 9.5791
Tb Nd Dy Er
2 4 12 2
Direct
0.0182 0.9818 0.7500
0.9818 0.0182 0.2500
0.1943 0.2973 0.5424
0.2973 0.1943 0.0424
0.7027 0.8057 0.9576
0.8057 0.7027 0.4576
0.0206 0.5748 0.6873
0.1245 0.7446 0.0570
0.2554 0.8755 0.4430
0.2929 0.5037 0.8805
0.4252 0.9794 0.8127
0.4963 0.7071 0.6195
0.5037 0.2929 0.3805
0.5748 0.0206 0.1873
0.7071 0.4963 0.1195
0.7446 0.1245 0.5570
0.8755 0.2554 0.9430
0.9794 0.4252 0.3127
0.4070 0.5930 0.2500
0.5930 0.4070 0.7500
```

Properties
The calculated formation energy comes out at 0.116 eV/atom. The density of states at the Fermi level is 27.2 states/eV per cell.

***

(2)
Below is a geometry-optimized Tb5NdDyEr2 structure, with properties calculated at the PBE level.

```
Tb5NdDyEr2
1.0
2.8066 -9.9457 0.0000
2.8066 9.9457 0.0000
0.0000 0.0000 10.5355
Tb Nd Dy Er
10 2 2 4
Direct
0.0176 0.9824 0.5000
0.2809 0.7191 0.7890
0.2984 0.7016 0.1849
0.3877 0.6123 0.4997
0.4785 0.5215 0.2141
0.5215 0.4785 0.7141
0.6123 0.3877 0.9997
0.7016 0.2984 0.6849
0.7191 0.2809 0.2890
0.9824 0.0176 0.0000
0.4153 0.5847 0.9276
0.5847 0.4153 0.4276
0.1994 0.8006 0.4885
0.8006 0.1994 0.9885
0.1114 0.8886 0.2113
0.1142 0.8858 0.7954
0.8858 0.1142 0.2954
0.8886 0.1114 0.7113
```

Properties
The calculated formation energy comes out at 0.158 eV/atom. The density of states at the Fermi level is 28.9 states/eV per cell.